Entry 1:
VASP calculation (PBE) on CsRb2GaBi2 after structural relaxation.

The structure belongs to space group Ibam (No. 72); the cell edges are 9.718, 15.158 and 7.808 Å and the angles 90.00°, 90.00° and 90.00°. Symmetry generates all atoms from Cs at (0.000, 0.000, 0.250), Rb at (0.174, 0.323, 0.000), Ga at (0.000, 0.500, 0.250) and Bi at (0.174, 0.413, 0.500).

=====

Entry 2:
VASP calculation (PBE) on Rb2MgMoBr6 after structural relaxation.

The structure belongs to space group Fm-3m (No. 225); the cell edges are 10.890, 10.890 and 10.890 Å and the angles 90.00°, 90.00° and 90.00°. Symmetry generates all atoms from Rb at (0.250, 0.250, 0.250), Mg at (0.000, 0.000, 0.000), Mo at (0.000, 0.000, 0.500) and Br at (0.000, 0.000, 0.250).

The calculation puts the formation energy (no corrections) at -1099 meV per atom.

=====

Entry 3:
VASP calculation (PBE) on CuAg2SnBr after structural relaxation.

The structure belongs to space group P4/mmm (No. 123); the cell edges are 5.270, 5.270 and 5.770 Å and the angles 90.00°, 90.00° and 90.00°. Symmetry generates all atoms from Cu at (0.000, 0.000, 0.000), Ag at (0.000, 0.500, 0.500), Sn at (0.500, 0.500, 0.500) and Br at (0.500, 0.500, 0.000).

The calculation puts the formation energy (no corrections) at 696 meV per atom.

=====

Entry 4:
VASP calculation (PBE) on TaTePb2 after structural relaxation.

The structure belongs to space group P4/mmm (No. 123); the cell edges are 4.292, 4.292 and 5.710 Å and the angles 90.00°, 90.00° and 90.00°. Symmetry generates all atoms from Ta at (0.000, 0.000, 0.000), Te at (0.500, 0.500, 0.000) and Pb at (0.000, 0.500, 0.500).

The calculation puts the formation energy (no corrections) at 681 meV per atom.

=====

Entry 5:
VASP calculation (PBE) on Cs3Li2PbBr6 after structural relaxation.

The structure belongs to space group P-3m1 (No. 164); the cell edges are 8.1934, 8.1934 and 9.8408 Å and the angles 90.00°, 90.00° and 120.00°. Symmetry generates all atoms from Cs at (0.0000, 0.0000, 0.0000), Cs at (0.3333, 0.6667, 0.6227), Li at (0.3333, 0.6667, 0.2274), Pb at (0.0000, 0.0000, 0.5000) and Br at (0.1679, 0.3357, 0.2780).

The calculation puts the formation energy (no corrections) at -1324 meV per atom.

=====

Entry 6:
VASP calculation (PBE) on Pu6GeP3 after structural relaxation.

The structure belongs to space group C2/m (No. 12); the cell edges are 8.744, 6.847 and 8.278 Å and the angles 90.00°, 110.91° and 90.00°. Symmetry generates all atoms from Pu at (0.110, 0.210, 0.337), Pu at (0.164, 0.500, 0.974), Ge at (0.000, 0.000, 0.000), P at (0.000, 0.500, 0.500) and P at (0.173, 0.000, 0.669).

=====

Entry 7:
VASP calculation (PBE) on ZnCuTe2 after structural relaxation.

The structure belongs to space group Imm2 (No. 44); the cell edges are 3.793, 3.819 and 12.562 Å and the angles 90.00°, 90.00° and 90.00°. Symmetry generates all atoms from Zn at (0.000, 0.000, 0.000), Cu at (0.000, 0.500, 0.749), Te at (0.000, 0.000, 0.409) and Te at (0.000, 0.500, 0.170).

The calculation puts the formation energy (no corrections) at 113 meV per atom. The calculation puts the offset from the most stable computed form at 32.53 kJ per mole of atoms.

=====

Computed Fermi-level density of states (states/eV/cell) in order:
12.71 8.76 3.06 3.52 5.06 78.71 4.97
Computed E (eV for the cell shown) in order:
-61.9 -141.5 -12.0 -19.7 -36.0 -223.5 -22.4